i:
Material: MgTlCl3
Method: DFT, PBE
State: optimized geometry

## Properties
- M_tot (μB/f.u.) = 0.0
- symmetry = No. 62

a = 3.820 Å, b = 9.131 Å, c = 14.951 Å
α = 90.00°, β = 90.00°, γ = 90.00°
Atoms (fractional coordinates):
1 Mg 0.250 0.661 0.552
2 Mg 0.750 0.339 0.448
3 Mg 0.750 0.839 0.052
4 Mg 0.250 0.161 0.948
5 Tl 0.250 0.953 0.323
6 Tl 0.750 0.047 0.677
7 Tl 0.750 0.547 0.823
8 Tl 0.250 0.453 0.177
9 Cl 0.750 0.233 0.298
10 Cl 0.250 0.681 0.997
11 Cl 0.250 0.019 0.095
12 Cl 0.250 0.519 0.405
13 Cl 0.250 0.181 0.503
14 Cl 0.750 0.481 0.595
15 Cl 0.250 0.267 0.798
16 Cl 0.750 0.981 0.905
17 Cl 0.750 0.319 0.003
18 Cl 0.750 0.733 0.202
19 Cl 0.750 0.819 0.497
20 Cl 0.250 0.767 0.702

***

ii:
Material: MgTlCl3
Method: DFT, PBE
State: optimized geometry

## Properties
- M_tot (μB/f.u.) = 0.0
- symmetry = No. 221

a = 5.026 Å, b = 5.026 Å, c = 5.026 Å
α = 90.00°, β = 90.00°, γ = 90.00°
Atoms (fractional coordinates):
1 Tl 0.500 0.500 0.500
2 Mg 0.000 0.000 0.000
3 Cl 0.000 0.500 0.000
4 Cl 0.000 0.000 0.500
5 Cl 0.500 0.000 0.000

***

Stability verdict: i, ahead by 25 meV per atom

***

i:
Material: MgUCl6
Method: DFT, PBE
State: optimized geometry

## Properties
- M_tot (μB/f.u.) = 2.0
- symmetry = No. 2

a = 6.607 Å, b = 6.601 Å, c = 7.097 Å
α = 62.20°, β = 62.30°, γ = 59.97°
Atoms (fractional coordinates):
1 Mg 0.500 0.500 0.500
2 U 0.000 0.000 0.000
3 Cl 0.117 0.393 0.743
4 Cl 0.745 0.117 0.745
5 Cl 0.608 0.254 0.257
6 Cl 0.255 0.883 0.255
7 Cl 0.883 0.607 0.257
8 Cl 0.392 0.746 0.743

***

ii:
Material: MgUCl6
Method: DFT, PBE
State: optimized geometry

## Properties
- M_tot (μB/f.u.) = 2.0
- symmetry = No. 12

a = 7.094 Å, b = 7.094 Å, c = 6.435 Å
α = 97.78°, β = 97.78°, γ = 125.73°
Atoms (fractional coordinates):
1 Mg 0.000 0.000 0.000
2 U 0.500 0.500 0.500
3 Cl 0.250 0.250 0.752
4 Cl 0.374 0.099 0.239
5 Cl 0.750 0.750 0.248
6 Cl 0.901 0.626 0.761
7 Cl 0.626 0.901 0.761
8 Cl 0.099 0.374 0.239

***

Stability verdict: ii, ahead by 8 meV per atom